## ThGa2Cu2Ni (PBE)

Data for crystalline ThGa2Cu2Ni at its relaxed geometry.

Values from the calculation:
- ΔH_f (0 K) (meV per atom) = -147.8
- final energy (eV/atom) = -4.722
- crystal system = tetragonal
- size of the total moment (μB per atom) = 0.00

a = 4.5377 Å, b = 4.5377 Å, c = 5.2581 Å
α = 90.00°, β = 90.00°, γ = 90.00°
Sites, in units of the cell vectors:
Th: 0.0000 0.0000 0.0000
Ga: 0.0000 0.5000 0.5000
Ga: 0.5000 0.0000 0.5000
Cu: 0.5000 0.5000 0.2297
Cu: 0.5000 0.5000 0.7703
Ni: 0.0000 0.0000 0.5000

***

## Th2Ga3Cu12Ni (PBE)

Data for crystalline Th2Ga3Cu12Ni at its relaxed geometry.

Values from the calculation:
- ΔH_f (0 K) (meV per atom) = 81.0
- final energy (eV/atom) = -4.300
- crystal system = trigonal
- size of the total moment (μB per atom) = 0.00

a = 11.5756 Å, b = 11.5756 Å, c = 11.5756 Å
α = 27.25°, β = 27.25°, γ = 27.25°
Sites, in units of the cell vectors:
Th: 0.1446 0.1446 0.1446
Th: 0.8554 0.8554 0.8554
Ga: 0.0000 0.5000 0.5000
Ga: 0.5000 0.0000 0.5000
Ga: 0.5000 0.5000 0.0000
Cu: 0.0963 0.0963 0.6411
Cu: 0.0963 0.6411 0.0963
Cu: 0.1208 0.6024 0.6024
Cu: 0.3589 0.9037 0.9037
Cu: 0.3976 0.3976 0.8792
Cu: 0.3976 0.8792 0.3976
Cu: 0.6024 0.1208 0.6024
Cu: 0.6024 0.6024 0.1208
Cu: 0.6411 0.0963 0.0963
Cu: 0.8792 0.3976 0.3976
Cu: 0.9037 0.3589 0.9037
Cu: 0.9037 0.9037 0.3589
Ni: 0.5000 0.5000 0.5000

***

## ThGaCuNi (PBE)

Data for crystalline ThGaCuNi at its relaxed geometry.

Values from the calculation:
- ΔH_f (0 K) (meV per atom) = -319.9
- final energy (eV/atom) = -5.401
- crystal system = cubic
- size of the total moment (μB per atom) = 0.00

a = 4.6634 Å, b = 4.6634 Å, c = 4.6634 Å
α = 60.00°, β = 60.00°, γ = 60.00°
Sites, in units of the cell vectors:
Th: 0.0000 0.0000 0.0000
Ga: 0.5000 0.5000 0.5000
Cu: 0.7500 0.7500 0.7500
Ni: 0.2500 0.2500 0.2500

***

## ThGa3CuNi (PBE)

Data for crystalline ThGa3CuNi at its relaxed geometry.

Values from the calculation:
- ΔH_f (0 K) (meV per atom) = -235.2
- final energy (eV/atom) = -4.631
- crystal system = orthorhombic
- size of the total moment (μB per atom) = 0.00

a = 6.6482 Å, b = 6.6482 Å, c = 6.0150 Å
α = 90.00°, β = 90.00°, γ = 125.20°
Sites, in units of the cell vectors:
Th: 0.2328 0.7672 0.7500
Th: 0.7672 0.2328 0.2500
Ga: 0.2099 0.2099 0.0000
Ga: 0.2099 0.2099 0.5000
Ga: 0.3435 0.6565 0.2500
Ga: 0.6565 0.3435 0.7500
Ga: 0.7901 0.7901 0.0000
Ga: 0.7901 0.7901 0.5000
Cu: 0.1385 0.8615 0.2500
Cu: 0.8615 0.1385 0.7500
Ni: 0.4515 0.5485 0.7500
Ni: 0.5485 0.4515 0.2500

***

## ThGaCuNi3 (PBE)

Data for crystalline ThGaCuNi3 at its relaxed geometry.

Values from the calculation:
- ΔH_f (0 K) (meV per atom) = -228.0
- final energy (eV/atom) = -5.542
- crystal system = orthorhombic
- size of the total moment (μB per atom) = 0.00

a = 7.0864 Å, b = 7.0864 Å, c = 5.3998 Å
α = 90.00°, β = 90.00°, γ = 136.57°
Sites, in units of the cell vectors:
Th: 0.1710 0.8290 0.7500
Th: 0.8290 0.1710 0.2500
Ga: 0.3957 0.6043 0.7500
Ga: 0.6043 0.3957 0.2500
Cu: 0.1398 0.8602 0.2500
Cu: 0.8602 0.1398 0.7500
Ni: 0.2382 0.2382 0.0000
Ni: 0.2382 0.2382 0.5000
Ni: 0.3444 0.6556 0.2500
Ni: 0.6556 0.3444 0.7500
Ni: 0.7618 0.7618 0.0000
Ni: 0.7618 0.7618 0.5000

***

## Th2Ga3CuNi4 (PBE)

Data for crystalline Th2Ga3CuNi4 at its relaxed geometry.

Values from the calculation:
- ΔH_f (0 K) (meV per atom) = -485.8
- final energy (eV/atom) = -5.600
- crystal system = tetragonal
- size of the total moment (μB per atom) = 0.00

a = 4.1078 Å, b = 4.1078 Å, c = 10.0133 Å
α = 90.00°, β = 90.00°, γ = 90.00°
Sites, in units of the cell vectors:
Th: 0.0000 0.5000 0.2492
Th: 0.5000 0.0000 0.7508
Ga: 0.0000 0.0000 0.0000
Ga: 0.0000 0.5000 0.6235
Ga: 0.5000 0.0000 0.3765
Cu: 0.5000 0.5000 0.0000
Ni: 0.0000 0.0000 0.5000
Ni: 0.0000 0.5000 0.8636
Ni: 0.5000 0.0000 0.1364
Ni: 0.5000 0.5000 0.5000

***

## ThGa2CuNi4 (PBE)

Data for crystalline ThGa2CuNi4 at its relaxed geometry.

Values from the calculation:
- ΔH_f (0 K) (meV per atom) = -393.4
- final energy (eV/atom) = -5.480
- crystal system = trigonal
- size of the total moment (μB per atom) = 0.00

a = 8.6329 Å, b = 8.6329 Å, c = 8.6329 Å
α = 27.10°, β = 27.10°, γ = 27.10°
Sites, in units of the cell vectors:
Th: 0.0000 0.0000 0.0000
Ga: 0.2333 0.2333 0.2333
Ga: 0.7667 0.7667 0.7667
Cu: 0.5000 0.5000 0.5000
Ni: 0.1303 0.1303 0.1303
Ni: 0.4036 0.4036 0.4036
Ni: 0.5964 0.5964 0.5964
Ni: 0.8697 0.8697 0.8697

***

## Th2GaCu3Ni12 (PBE)

Data for crystalline Th2GaCu3Ni12 at its relaxed geometry.

Values from the calculation:
- ΔH_f (0 K) (meV per atom) = 126.1
- final energy (eV/atom) = -5.403
- crystal system = trigonal
- size of the total moment (μB per atom) = 0.00

a = 8.8544 Å, b = 8.8544 Å, c = 8.8544 Å
α = 40.78°, β = 40.78°, γ = 40.78°
Sites, in units of the cell vectors:
Th: 0.1441 0.1441 0.1441
Th: 0.8559 0.8559 0.8559
Ga: 0.5000 0.5000 0.5000
Cu: 0.0000 0.5000 0.5000
Cu: 0.5000 0.0000 0.5000
Cu: 0.5000 0.5000 0.0000
Ni: 0.0800 0.0800 0.6985
Ni: 0.0800 0.6985 0.0800
Ni: 0.0978 0.6046 0.6046
Ni: 0.3015 0.9200 0.9200
Ni: 0.3954 0.3954 0.9022
Ni: 0.3954 0.9022 0.3954
Ni: 0.6046 0.0978 0.6046
Ni: 0.6046 0.6046 0.0978
Ni: 0.6985 0.0800 0.0800
Ni: 0.9022 0.3954 0.3954
Ni: 0.9200 0.3015 0.9200
Ni: 0.9200 0.9200 0.3015

***

## Th2Ga3CuNi12 (PBE)

Data for crystalline Th2Ga3CuNi12 at its relaxed geometry.

Values from the calculation:
- ΔH_f (0 K) (meV per atom) = -146.3
- final energy (eV/atom) = -5.557
- crystal system = trigonal
- size of the total moment (μB per atom) = 0.00

a = 6.3867 Å, b = 6.3867 Å, c = 6.3867 Å
α = 83.26°, β = 83.26°, γ = 83.26°
Sites, in units of the cell vectors:
Th: 0.1575 0.1575 0.1575
Th: 0.8425 0.8425 0.8425
Ga: 0.0000 0.5000 0.5000
Ga: 0.5000 0.0000 0.5000
Ga: 0.5000 0.5000 0.0000
Cu: 0.5000 0.5000 0.5000
Ni: 0.1054 0.1054 0.6078
Ni: 0.1054 0.6078 0.1054
Ni: 0.2169 0.6942 0.6942
Ni: 0.3058 0.3058 0.7831
Ni: 0.3058 0.7831 0.3058
Ni: 0.3922 0.8946 0.8946
Ni: 0.6078 0.1054 0.1054
Ni: 0.6942 0.2169 0.6942
Ni: 0.6942 0.6942 0.2169
Ni: 0.7831 0.3058 0.3058
Ni: 0.8946 0.3922 0.8946
Ni: 0.8946 0.8946 0.3922

***

## ThGa4CuNi2 (PBE)

Data for crystalline ThGa4CuNi2 at its relaxed geometry.

Values from the calculation:
- ΔH_f (0 K) (meV per atom) = -372.4
- final energy (eV/atom) = -4.771
- crystal system = trigonal
- size of the total moment (μB per atom) = 0.00

a = 9.0580 Å, b = 9.0580 Å, c = 9.0580 Å
α = 26.48°, β = 26.48°, γ = 26.48°
Sites, in units of the cell vectors:
Th: 0.0000 0.0000 0.0000
Ga: 0.1291 0.1291 0.1291
Ga: 0.4045 0.4045 0.4045
Ga: 0.5955 0.5955 0.5955
Ga: 0.8709 0.8709 0.8709
Cu: 0.5000 0.5000 0.5000
Ni: 0.2332 0.2332 0.2332
Ni: 0.7668 0.7668 0.7668

***

## Th2Ga4Cu3Ni (PBE)

Data for crystalline Th2Ga4Cu3Ni at its relaxed geometry.

Values from the calculation:
- ΔH_f (0 K) (meV per atom) = -462.8
- final energy (eV/atom) = -4.965
- crystal system = tetragonal
- size of the total moment (μB per atom) = 0.00

a = 4.2482 Å, b = 4.2482 Å, c = 9.8763 Å
α = 90.00°, β = 90.00°, γ = 90.00°
Sites, in units of the cell vectors:
Th: 0.0000 0.5000 0.2382
Th: 0.5000 0.0000 0.7618
Ga: 0.0000 0.0000 0.5000
Ga: 0.0000 0.5000 0.8756
Ga: 0.5000 0.0000 0.1244
Ga: 0.5000 0.5000 0.5000
Cu: 0.0000 0.0000 0.0000
Cu: 0.0000 0.5000 0.6314
Cu: 0.5000 0.0000 0.3686
Ni: 0.5000 0.5000 0.0000

***

## Tm2Ga3Cu4Ni (PBE)

Data for crystalline Tm2Ga3Cu4Ni at its relaxed geometry.

Values from the calculation:
- ΔH_f (0 K) (meV per atom) = -351.3
- final energy (eV/atom) = -4.370
- crystal system = tetragonal
- size of the total moment (μB per atom) = 0.00

a = 3.8821 Å, b = 3.8821 Å, c = 10.8636 Å
α = 90.00°, β = 90.00°, γ = 90.00°
Sites, in units of the cell vectors:
Tm: 0.0000 0.5000 0.2372
Tm: 0.5000 0.0000 0.7628
Ga: 0.0000 0.0000 0.0000
Ga: 0.0000 0.5000 0.6392
Ga: 0.5000 0.0000 0.3608
Cu: 0.0000 0.0000 0.5000
Cu: 0.0000 0.5000 0.8599
Cu: 0.5000 0.0000 0.1401
Cu: 0.5000 0.5000 0.5000
Ni: 0.5000 0.5000 0.0000